Cr2IrO6: relaxed, PBE+U.

Properties
VASP energy = -7.23 eV/atom
calculated volume = 10.7 A^3/atom

Unit cell a=8.8315 b=8.8315 c=4.2822 alpha=90.00 beta=90.00 gamma=120.00
Space group P-3m1 (No. 164)
One atom of each set of equivalent atoms:
1 Cr 0.0000 0.3408 0.0000 (multiplicity 6)
2 Ir 0.0000 0.0000 0.0000 (multiplicity 1)
3 Ir 0.3333 0.6667 0.5030 (multiplicity 2)
4 O 0.1135 0.2270 0.2182 (multiplicity 6)
5 O 0.1160 0.5580 0.2501 (multiplicity 6)
6 O 0.2254 0.4509 0.7549 (multiplicity 6)